The following is a DFT calculation (PBE) of a geometry-optimized Nd2Ga4Cu3Ge structure.

Geometry as POSCAR:
```
Nd2Ga4Cu3Ge
1.0
4.2064 0.0000 0.0000
0.0000 4.2064 0.0000
0.0000 0.0000 10.4302
Nd Ga Cu Ge
2 4 3 1
Direct
0.0000 0.5000 0.2461
0.5000 0.0000 0.7539
0.0000 0.0000 0.0000
0.0000 0.5000 0.6436
0.5000 0.0000 0.3564
0.5000 0.5000 0.0000
0.0000 0.5000 0.8725
0.5000 0.0000 0.1275
0.5000 0.5000 0.5000
0.0000 0.0000 0.5000
```

Properties
Symmetry: No. 115
Crystal system: tetragonal
Calculated formation energy in eV/f.u.: -4.7
Theoretical density in Mg/m³: 7.5


The following is a DFT calculation (PBE) of a geometry-optimized Nd2Ga3Cu4Ge structure.

Geometry as POSCAR:
```
Nd2Ga3Cu4Ge
1.0
4.2557 0.0000 0.0000
0.0000 4.2557 0.0000
0.0000 0.0000 9.9682
Nd Ga Cu Ge
2 3 4 1
Direct
0.0000 0.5000 0.2481
0.5000 0.0000 0.7519
0.0000 0.5000 0.8728
0.5000 0.0000 0.1272
0.5000 0.5000 0.5000
0.0000 0.0000 0.0000
0.0000 0.5000 0.6294
0.5000 0.0000 0.3706
0.5000 0.5000 0.0000
0.0000 0.0000 0.5000
```

Properties
Symmetry: No. 115
Crystal system: tetragonal
Calculated formation energy in eV/f.u.: -4.5
Theoretical density in Mg/m³: 7.6


The following is a DFT calculation (PBE) of a geometry-optimized GaCuNiGe structure.

Geometry as POSCAR:
```
GaCuNiGe
1.0
6.0182 0.0000 0.0000
0.0000 6.0182 0.0000
0.0000 0.0000 6.0182
Ga Cu Ni Ge
4 4 4 4
Direct
0.0000 0.0000 0.0000
0.0000 0.5000 0.5000
0.5000 0.0000 0.5000
0.5000 0.5000 0.0000
0.2500 0.2500 0.2500
0.2500 0.7500 0.7500
0.7500 0.2500 0.7500
0.7500 0.7500 0.2500
0.2500 0.2500 0.7500
0.2500 0.7500 0.2500
0.7500 0.2500 0.2500
0.7500 0.7500 0.7500
0.0000 0.0000 0.5000
0.0000 0.5000 0.0000
0.5000 0.0000 0.0000
0.5000 0.5000 0.5000
```

Properties
Symmetry: No. 216
Crystal system: cubic
Calculated formation energy in eV/f.u.: 0.0
Theoretical density in Mg/m³: 8.1


The following is a DFT calculation (PBE) of a geometry-optimized Ga2CuGeP structure.

Geometry as POSCAR:
```
Ga2CuGeP
1.0
4.6219 0.0000 0.0000
0.0000 4.6219 0.0000
0.0000 0.0000 4.6507
Ga Cu Ge P
2 1 1 1
Direct
0.0000 0.5000 0.0000
0.5000 0.0000 0.0000
0.0000 0.0000 0.0000
0.0000 0.0000 0.5000
0.5000 0.5000 0.5000
```

Properties
Symmetry: No. 123
Crystal system: tetragonal
Calculated formation energy in eV/f.u.: 2.2
Theoretical density in Mg/m³: 5.1


The following is a DFT calculation (PBE) of a geometry-optimized GaCuGePd structure.

Geometry as POSCAR:
```
GaCuGePd
1.0
6.2573 0.0000 0.0000
0.0000 6.2573 0.0000
0.0000 0.0000 6.2573
Ga Cu Ge Pd
4 4 4 4
Direct
0.0000 0.0000 0.0000
0.0000 0.5000 0.5000
0.5000 0.0000 0.5000
0.5000 0.5000 0.0000
0.2500 0.2500 0.2500
0.2500 0.7500 0.7500
0.7500 0.2500 0.7500
0.7500 0.7500 0.2500
0.0000 0.0000 0.5000
0.0000 0.5000 0.0000
0.5000 0.0000 0.0000
0.5000 0.5000 0.5000
0.2500 0.2500 0.7500
0.2500 0.7500 0.2500
0.7500 0.2500 0.2500
0.7500 0.7500 0.7500
```

Properties
Symmetry: No. 216
Crystal system: cubic
Calculated formation energy in eV/f.u.: -0.5
Theoretical density in Mg/m³: 8.5


The following is a DFT calculation (PBE) of a geometry-optimized Pm2Ga4Cu3Ge structure.

Geometry as POSCAR:
```
Pm2Ga4Cu3Ge
1.0
4.1849 0.0000 0.0000
0.0000 4.1849 0.0000
0.0000 0.0000 10.4288
Pm Ga Cu Ge
2 4 3 1
Direct
0.0000 0.5000 0.2459
0.5000 0.0000 0.7541
0.0000 0.0000 0.0000
0.0000 0.5000 0.6440
0.5000 0.0000 0.3560
0.5000 0.5000 0.0000
0.0000 0.5000 0.8718
0.5000 0.0000 0.1281
0.5000 0.5000 0.5000
0.0000 0.0000 0.5000
```

Properties
Symmetry: No. 115
Crystal system: tetragonal
Calculated formation energy in eV/f.u.: -4.7
Theoretical density in Mg/m³: 7.6


The following is a DFT calculation (PBE) of a geometry-optimized Pm2Ga3Cu4Ge structure.

Geometry as POSCAR:
```
Pm2Ga3Cu4Ge
1.0
4.2339 0.0000 0.0000
0.0000 4.2339 0.0000
0.0000 0.0000 9.9655
Pm Ga Cu Ge
2 3 4 1
Direct
0.0000 0.5000 0.2481
0.5000 0.0000 0.7519
0.0000 0.5000 0.8722
0.5000 0.0000 0.1278
0.5000 0.5000 0.5000
0.0000 0.0000 0.0000
0.0000 0.5000 0.6300
0.5000 0.0000 0.3700
0.5000 0.5000 0.0000
0.0000 0.0000 0.5000
```

Properties
Symmetry: No. 115
Crystal system: tetragonal
Calculated formation energy in eV/f.u.: -4.5
Theoretical density in Mg/m³: 7.7


The following is a DFT calculation (PBE) of a geometry-optimized Pr2Ga3Cu4Ge structure.

Geometry as POSCAR:
```
Pr2Ga3Cu4Ge
1.0
4.2790 0.0000 0.0000
0.0000 4.2790 0.0000
0.0000 0.0000 9.9779
Pr Ga Cu Ge
2 3 4 1
Direct
0.0000 0.5000 0.2481
0.5000 0.0000 0.7519
0.0000 0.5000 0.8734
0.5000 0.0000 0.1266
0.5000 0.5000 0.5000
0.0000 0.0000 0.0000
0.0000 0.5000 0.6287
0.5000 0.0000 0.3713
0.5000 0.5000 0.0000
0.0000 0.0000 0.5000
```

Properties
Symmetry: No. 115
Crystal system: tetragonal
Calculated formation energy in eV/f.u.: -4.4
Theoretical density in Mg/m³: 7.4


The following is a DFT calculation (PBE) of a geometry-optimized Pr2Ga4Cu3Ge structure.

Geometry as POSCAR:
```
Pr2Ga4Cu3Ge
1.0
4.2310 0.0000 0.0000
0.0000 4.2310 0.0000
0.0000 0.0000 10.4313
Pr Ga Cu Ge
2 4 3 1
Direct
0.0000 0.5000 0.2463
0.5000 0.0000 0.7537
0.0000 0.0000 0.0000
0.0000 0.5000 0.6430
0.5000 0.0000 0.3570
0.5000 0.5000 0.0000
0.0000 0.5000 0.8732
0.5000 0.0000 0.1268
0.5000 0.5000 0.5000
0.0000 0.0000 0.5000
```

Properties
Symmetry: No. 115
Crystal system: tetragonal
Calculated formation energy in eV/f.u.: -4.7
Theoretical density in Mg/m³: 7.3


The following is a DFT calculation (PBE) of a geometry-optimized Pr2GaCu3Ge4 structure.

Geometry as POSCAR:
```
Pr2GaCu3Ge4
1.0
4.2442 0.0000 0.0000
0.0000 4.2442 0.0000
0.0000 0.0000 10.3544
Pr Ga Cu Ge
2 1 3 4
Direct
0.0000 0.5000 0.2452
0.5000 0.0000 0.7548
0.0000 0.0000 0.5000
0.0000 0.5000 0.8727
0.5000 0.0000 0.1273
0.5000 0.5000 0.5000
0.0000 0.0000 0.0000
0.0000 0.5000 0.6416
0.5000 0.0000 0.3584
0.5000 0.5000 0.0000
```

Properties
Symmetry: No. 115
Crystal system: tetragonal
Calculated formation energy in eV/f.u.: -4.8
Theoretical density in Mg/m³: 7.4


The following is a DFT calculation (PBE) of a geometry-optimized Pu2GaCu3Ge4 structure.

Geometry as POSCAR:
```
Pu2GaCu3Ge4
1.0
4.1708 0.0000 0.0000
0.0000 4.1708 0.0000
0.0000 0.0000 10.3010
Pu Ga Cu Ge
2 1 3 4
Direct
0.0000 0.5000 0.2439
0.5000 0.0000 0.7561
0.0000 0.0000 0.5000
0.0000 0.5000 0.8734
0.5000 0.0000 0.1266
0.5000 0.5000 0.5000
0.0000 0.0000 0.0000
0.0000 0.5000 0.6446
0.5000 0.0000 0.3554
0.5000 0.5000 0.0000
```

Properties
Symmetry: No. 115
Crystal system: tetragonal
Calculated formation energy in eV/f.u.: -2.9
Theoretical density in Mg/m³: 9.6


The following is a DFT calculation (PBE) of a geometry-optimized Pu2Ga3Cu4Ge structure.

Geometry as POSCAR:
```
Pu2Ga3Cu4Ge
1.0
4.2029 0.0000 0.0000
0.0000 4.2029 0.0000
0.0000 0.0000 9.9655
Pu Ga Cu Ge
2 3 4 1
Direct
0.0000 0.5000 0.2482
0.5000 0.0000 0.7518
0.0000 0.5000 0.8701
0.5000 0.0000 0.1299
0.5000 0.5000 0.5000
0.0000 0.0000 0.0000
0.0000 0.5000 0.6305
0.5000 0.0000 0.3695
0.5000 0.5000 0.0000
0.0000 0.0000 0.5000
```

Properties
Symmetry: No. 115
Crystal system: tetragonal
Calculated formation energy in eV/f.u.: -2.3
Theoretical density in Mg/m³: 9.7


The following is a DFT calculation (PBE) of a geometry-optimized Ga2CuGe2Rh2 structure.

Geometry as POSCAR:
```
Ga2CuGe2Rh2
1.0
4.5737 0.0000 0.0000
0.0000 4.5737 0.0000
0.0000 0.0000 12.1987
Ga Cu Ge Rh
4 2 4 4
Direct
0.0000 0.5000 0.0000
0.0000 0.5000 0.5000
0.5000 0.0000 0.0000
0.5000 0.0000 0.5000
0.0000 0.0000 0.0000
0.5000 0.5000 0.5000
0.0000 0.0000 0.1954
0.0000 0.0000 0.8046
0.5000 0.5000 0.3046
0.5000 0.5000 0.6954
0.0000 0.0000 0.3900
0.0000 0.0000 0.6100
0.5000 0.5000 0.1100
0.5000 0.5000 0.8900
```

Properties
Symmetry: No. 139
Crystal system: tetragonal
Calculated formation energy in eV/f.u.: 0.9
Theoretical density in Mg/m³: 7.2


The following is a DFT calculation (PBE) of a geometry-optimized GaCuGeRh structure.

Geometry as POSCAR:
```
GaCuGeRh
1.0
6.1391 0.0000 0.0000
0.0000 6.1391 0.0000
0.0000 0.0000 6.1391
Ga Cu Ge Rh
4 4 4 4
Direct
0.0000 0.0000 0.0000
0.0000 0.5000 0.5000
0.5000 0.0000 0.5000
0.5000 0.5000 0.0000
0.2500 0.2500 0.2500
0.2500 0.7500 0.7500
0.7500 0.2500 0.7500
0.7500 0.7500 0.2500
0.0000 0.0000 0.5000
0.0000 0.5000 0.0000
0.5000 0.0000 0.0000
0.5000 0.5000 0.5000
0.2500 0.2500 0.7500
0.2500 0.7500 0.2500
0.7500 0.2500 0.2500
0.7500 0.7500 0.7500
```

Properties
Symmetry: No. 216
Crystal system: cubic
Calculated formation energy in eV/f.u.: -0.6
Theoretical density in Mg/m³: 8.9


The following is a DFT calculation (PBE) of a geometry-optimized GaCu2GeRu structure.

Geometry as POSCAR:
```
GaCu2GeRu
1.0
4.3983 0.0000 0.0000
0.0000 4.3983 0.0000
0.0000 0.0000 4.7304
Ga Cu Ge Ru
1 2 1 1
Direct
0.0000 0.0000 0.0000
0.0000 0.5000 0.0000
0.5000 0.0000 0.0000
0.5000 0.5000 0.5000
0.0000 0.0000 0.5000
```

Properties
Symmetry: No. 123
Crystal system: tetragonal
Calculated formation energy in eV/f.u.: 4.1
Theoretical density in Mg/m³: 6.7


The following is a DFT calculation (PBE) of a geometry-optimized GaCuGeSb2 structure.

Geometry as POSCAR:
```
GaCuGeSb2
1.0
5.3561 0.0000 0.0000
0.0000 5.3561 0.0000
0.0000 0.0000 4.4648
Ga Cu Ge Sb
1 1 1 2
Direct
0.0000 0.0000 0.0000
0.0000 0.0000 0.5000
0.5000 0.5000 0.5000
0.0000 0.5000 0.0000
0.5000 0.0000 0.0000
```

Properties
Symmetry: No. 123
Crystal system: tetragonal
Total energy in eV for the cell shown: -16.871
Theoretical density in Mg/m³: 5.8


The following is a DFT calculation (PBE) of a geometry-optimized Sm2Ga4Cu3Ge structure.

Geometry as POSCAR:
```
Sm2Ga4Cu3Ge
1.0
4.1692 0.0000 0.0000
0.0000 4.1692 0.0000
0.0000 0.0000 10.4375
Sm Ga Cu Ge
2 4 3 1
Direct
0.0000 0.5000 0.2457
0.5000 0.0000 0.7543
0.0000 0.0000 0.0000
0.0000 0.5000 0.6443
0.5000 0.0000 0.3557
0.5000 0.5000 0.0000
0.0000 0.5000 0.8713
0.5000 0.0000 0.1287
0.5000 0.5000 0.5000
0.0000 0.0000 0.5000
```

Properties
Symmetry: No. 115
Crystal system: tetragonal
Calculated formation energy in eV/f.u.: -4.6
Theoretical density in Mg/m³: 7.7


The following is a DFT calculation (PBE) of a geometry-optimized Sm2GaCu3Ge4 structure.

Geometry as POSCAR:
```
Sm2GaCu3Ge4
1.0
4.1886 0.0000 0.0000
0.0000 4.1886 0.0000
0.0000 0.0000 10.3589
Sm Ga Cu Ge
2 1 3 4
Direct
0.0000 0.5000 0.2446
0.5000 0.0000 0.7554
0.0000 0.0000 0.5000
0.0000 0.5000 0.8708
0.5000 0.0000 0.1292
0.5000 0.5000 0.5000
0.0000 0.0000 0.0000
0.0000 0.5000 0.6428
0.5000 0.0000 0.3572
0.5000 0.5000 0.0000
```

Properties
Symmetry: No. 115
Crystal system: tetragonal
Calculated formation energy in eV/f.u.: -4.6
Theoretical density in Mg/m³: 7.8


The following is a DFT calculation (PBE) of a geometry-optimized Tb2Ga3Cu4Ge structure.

Geometry as POSCAR:
```
Tb2Ga3Cu4Ge
1.0
4.1631 0.0000 0.0000
0.0000 4.1631 0.0000
0.0000 0.0000 9.9931
Tb Ga Cu Ge
2 3 4 1
Direct
0.0000 0.5000 0.2476
0.5000 0.0000 0.7524
0.0000 0.5000 0.8705
0.5000 0.0000 0.1295
0.5000 0.5000 0.5000
0.0000 0.0000 0.0000
0.0000 0.5000 0.6327
0.5000 0.0000 0.3673
0.5000 0.5000 0.0000
0.0000 0.0000 0.5000
```

Properties
Symmetry: No. 115
Crystal system: tetragonal
Calculated formation energy in eV/f.u.: -4.3
Theoretical density in Mg/m³: 8.2


The following is a DFT calculation (PBE) of a geometry-optimized GaCu2TcGe structure.

Geometry as POSCAR:
```
GaCu2TcGe
1.0
4.4034 0.0000 0.0000
0.0000 4.4034 0.0000
0.0000 0.0000 4.9210
Ga Cu Tc Ge
1 2 1 1
Direct
0.0000 0.0000 0.0000
0.0000 0.5000 0.5000
0.5000 0.0000 0.5000
0.5000 0.5000 0.0000
0.0000 0.0000 0.5000
```

Properties
Symmetry: No. 123
Crystal system: tetragonal
Calculated formation energy in eV/f.u.: 5.2
Theoretical density in Mg/m³: 6.4


The following is a DFT calculation (PBE) of a geometry-optimized GaCuGeTe2 structure.

Geometry as POSCAR:
```
GaCuGeTe2
1.0
5.5862 0.0000 0.0000
0.0000 5.5862 0.0000
0.0000 0.0000 4.5167
Ga Cu Ge Te
1 1 1 2
Direct
0.0000 0.0000 0.0000
0.5000 0.5000 0.0000
0.5000 0.5000 0.5000
0.0000 0.5000 0.5000
0.5000 0.0000 0.5000
```

Properties
Symmetry: No. 123
Crystal system: tetragonal
Total energy in eV for the cell shown: -16.340
Theoretical density in Mg/m³: 5.4


The following is a DFT calculation (PBE) of a geometry-optimized Tm2Ga3Cu4Ge structure.

Geometry as POSCAR:
```
Tm2Ga3Cu4Ge
1.0
4.0943 0.0000 0.0000
0.0000 4.0943 0.0000
0.0000 0.0000 10.1099
Tm Ga Cu Ge
2 3 4 1
Direct
0.0000 0.5000 0.2458
0.5000 0.0000 0.7542
0.0000 0.5000 0.8686
0.5000 0.0000 0.1314
0.5000 0.5000 0.5000
0.0000 0.0000 0.0000
0.0000 0.5000 0.6356
0.5000 0.0000 0.3644
0.5000 0.5000 0.0000
0.0000 0.0000 0.5000
```

Properties
Symmetry: No. 115
Crystal system: tetragonal
Calculated formation energy in eV/f.u.: -3.9
Theoretical density in Mg/m³: 8.6


The following is a DFT calculation (PBE) of a geometry-optimized Y2GaCu3Ge4 structure.

Geometry as POSCAR:
```
Y2GaCu3Ge4
1.0
4.1390 0.0000 0.0000
0.0000 4.1390 0.0000
0.0000 0.0000 10.4010
Y Ga Cu Ge
2 1 3 4
Direct
0.0000 0.5000 0.2441
0.5000 0.0000 0.7559
0.0000 0.0000 0.5000
0.0000 0.5000 0.8684
0.5000 0.0000 0.1316
0.5000 0.5000 0.5000
0.0000 0.0000 0.0000
0.0000 0.5000 0.6438
0.5000 0.0000 0.3562
0.5000 0.5000 0.0000
```

Properties
Symmetry: No. 115
Crystal system: tetragonal
Calculated formation energy in eV/f.u.: -4.2
Theoretical density in Mg/m³: 6.8


The following is a DFT calculation (PBE) of a geometry-optimized Zn2GaCuGe structure.

Geometry as POSCAR:
```
Zn2GaCuGe
1.0
4.6252 0.0000 0.0000
0.0000 4.6252 0.0000
0.0000 0.0000 4.5567
Zn Ga Cu Ge
2 1 1 1
Direct
0.0000 0.5000 0.0000
0.5000 0.0000 0.0000
0.0000 0.0000 0.5000
0.0000 0.0000 0.0000
0.5000 0.5000 0.5000
```

Properties
Symmetry: No. 123
Crystal system: tetragonal
Calculated formation energy in eV/f.u.: 1.8
Theoretical density in Mg/m³: 5.7